# KSe2 GGA-PBE optimized geometry
# D(E_F) = 19.1 states/eV per cell
# energy = -3.151 eV/atom
# mass density = 2.7 g cm⁻³
# ΔE_f (raw) = -462 meV per atom
# offset from the most stable computed form = 206 meV per atom
data_KSe2
_chemical_formula_sum 'K4 Se8'
_cell_length_a 7.885
_cell_length_b 7.885
_cell_length_c 7.885
_cell_angle_alpha 90.00
_cell_angle_beta 90.00
_cell_angle_gamma 90.00
_space_group_name_H-M_alt 'P a -3'
_space_group_IT_number 205
_space_group_name_Hall '-P 2ac 2ab 3'
loop_
_atom_site_label
_atom_site_fract_x
_atom_site_fract_y
_atom_site_fract_z
K1 0.000 0.000 0.000
Se1 0.084 0.584 0.916


# KSe2 GGA-PBE optimized geometry
# energy = -3.349 eV/atom
# mass density = 3.3 g cm⁻³
# ΔE_f (raw) = -660 meV per atom
# offset from the most stable computed form = 8 meV per atom
data_KSe2
_chemical_formula_sum 'K2 Se4'
_cell_length_a 5.095
_cell_length_b 6.131
_cell_length_c 7.237
_cell_angle_alpha 103.30
_cell_angle_beta 91.52
_cell_angle_gamma 113.14
_space_group_name_H-M_alt 'P -1'
_space_group_IT_number 2
_space_group_name_Hall '-P 1'
loop_
_atom_site_label
_atom_site_fract_x
_atom_site_fract_y
_atom_site_fract_z
K1 0.081 0.185 0.311
Se1 0.282 0.568 0.006
Se2 0.393 0.781 0.345


# K5Se4 GGA-PBE optimized geometry
# D(E_F) = 9.5 states/eV per cell
# energy = -2.680 eV/atom
# mass density = 2.4 g cm⁻³
# ΔE_f (raw) = -522 meV per atom
# offset from the most stable computed form = 297 meV per atom
data_K5Se4
_chemical_formula_sum 'K10 Se8'
_cell_length_a 11.385
_cell_length_b 11.385
_cell_length_c 5.397
_cell_angle_alpha 90.00
_cell_angle_beta 90.00
_cell_angle_gamma 90.00
_space_group_name_H-M_alt 'I 4/m m m'
_space_group_IT_number 139
_space_group_name_Hall '-I 4 2'
loop_
_atom_site_label
_atom_site_fract_x
_atom_site_fract_y
_atom_site_fract_z
K1 0.000 0.000 0.000
K2 0.189 0.189 0.500
Se1 0.000 0.263 0.000


# K3Se GGA-PBE optimized geometry
# D(E_F) = 2.6 states/eV per cell
# energy = -2.402 eV/atom
# mass density = 1.6 g cm⁻³
# ΔE_f (raw) = -708 meV per atom
# offset from the most stable computed form = 17 meV per atom
data_K3Se
_chemical_formula_sum 'K6 Se2'
_cell_length_a 4.264
_cell_length_b 5.324
_cell_length_c 17.459
_cell_angle_alpha 90.00
_cell_angle_beta 90.00
_cell_angle_gamma 90.00
_space_group_name_H-M_alt 'I m m m'
_space_group_IT_number 71
_space_group_name_Hall '-I 2 2'
loop_
_atom_site_label
_atom_site_fract_x
_atom_site_fract_y
_atom_site_fract_z
K1 0.000 0.000 0.000
K2 0.000 0.500 0.144
Se1 0.000 0.000 0.500


# K3Se GGA-PBE optimized geometry
# D(E_F) = 3.1 states/eV per cell
# energy = -2.402 eV/atom
# mass density = 1.3 g cm⁻³
# ΔE_f (raw) = -708 meV per atom
# offset from the most stable computed form = 17 meV per atom
data_K3Se
_chemical_formula_sum 'K6 Se2'
_cell_length_a 6.384
_cell_length_b 15.613
_cell_length_c 4.864
_cell_angle_alpha 90.00
_cell_angle_beta 90.00
_cell_angle_gamma 90.00
_space_group_name_H-M_alt 'C m m m'
_space_group_IT_number 65
_space_group_name_Hall '-C 2 2'
loop_
_atom_site_label
_atom_site_fract_x
_atom_site_fract_y
_atom_site_fract_z
K1 0.000 0.000 0.000
K2 0.000 0.367 0.500
Se1 0.000 0.500 0.000


# K3Se GGA-PBE optimized geometry
# D(E_F) = 1.0 states/eV per cell
# energy = -2.271 eV/atom
# mass density = 2.2 g cm⁻³
# ΔE_f (raw) = -577 meV per atom
# offset from the most stable computed form = 148 meV per atom
data_K3Se
_chemical_formula_sum 'K3 Se1'
_cell_length_a 5.297
_cell_length_b 5.297
_cell_length_c 5.297
_cell_angle_alpha 90.00
_cell_angle_beta 90.00
_cell_angle_gamma 90.00
_space_group_name_H-M_alt 'P m -3 m'
_space_group_IT_number 221
_space_group_name_Hall '-P 4 2 3'
loop_
_atom_site_label
_atom_site_fract_x
_atom_site_fract_y
_atom_site_fract_z
K1 0.000 0.000 0.500
Se1 0.500 0.500 0.500


# K2Se5 GGA-PBE optimized geometry
# energy = -3.386 eV/atom
# mass density = 3.4 g cm⁻³
# ΔE_f (raw) = -583 meV per atom
data_K2Se5
_chemical_formula_sum 'K8 Se20'
_cell_length_a 6.672
_cell_length_b 6.909
_cell_length_c 19.845
_cell_angle_alpha 90.00
_cell_angle_beta 90.00
_cell_angle_gamma 90.00
_space_group_name_H-M_alt 'P 21 21 21'
_space_group_IT_number 19
_space_group_name_Hall 'P 2ac 2ab'
loop_
_atom_site_label
_atom_site_fract_x
_atom_site_fract_y
_atom_site_fract_z
K1 0.087 0.157 0.182
K2 0.150 0.439 0.509
Se1 0.038 0.744 0.809
Se2 0.066 0.429 0.862
Se3 0.100 0.649 0.157
Se4 0.122 0.937 0.537
Se5 0.237 0.052 0.372


# K3Se GGA-PBE optimized geometry
# D(E_F) = 2.2 states/eV per cell
# energy = -2.367 eV/atom
# mass density = 2.0 g cm⁻³
# ΔE_f (raw) = -673 meV per atom
# offset from the most stable computed form = 51 meV per atom
data_K3Se
_chemical_formula_sum 'K6 Se2'
_cell_length_a 8.3588
_cell_length_b 8.3588
_cell_length_c 5.3033
_cell_angle_alpha 90.00
_cell_angle_beta 90.00
_cell_angle_gamma 120.00
_space_group_name_H-M_alt 'P 63/m m c'
_space_group_IT_number 194
_space_group_name_Hall '-P 6c 2c'
loop_
_atom_site_label
_atom_site_fract_x
_atom_site_fract_y
_atom_site_fract_z
K1 0.1874 0.3748 0.2500
Se1 0.3333 0.6667 0.7500